# 1
A relaxed structure of CrReSe, computed with PBE-GGA.

a = 7.157 Å, b = 6.940 Å, c = 2.766 Å
α = 83.13°, β = 74.31°, γ = 22.56°
Sites, in units of the cell vectors:
1 Cr 0.006 0.006 0.994
2 Re 0.642 0.642 0.358
3 Se 0.351 0.351 0.649

**Raw formation energy**: 0.56 eV per atom

---

# 2
A relaxed structure of CrReSe2, computed with PBE-GGA.

a = 3.101 Å, b = 3.101 Å, c = 6.229 Å
α = 90.00°, β = 90.00°, γ = 90.00°
Sites, in units of the cell vectors:
1 Cr 0.500 0.500 0.250
2 Re 0.500 0.500 0.750
3 Se 0.000 0.000 0.005
4 Se 0.000 0.000 0.495

**Raw formation energy**: 0.42 eV per atom

---

For reference, energy above the lowest structure with this stoichiometry by record: 0.605, 0.511 eV per atom.